1) A plane-wave DFT calculation with GGA-PBE was carried out for a relaxed structure of Ba2NbV2.

The structure belongs to space group I4/mmm (No. 139); the cell edges are 4.3450, 4.3450 and 13.9732 Å and the angles 90.00°, 90.00° and 90.00°. The asymmetric unit holds Ba at (0.0000, 0.5000, 0.2500), Nb at (0.0000, 0.0000, 0.0000) and V at (0.0000, 0.0000, 0.4332).



2) A plane-wave DFT calculation with GGA-PBE was carried out for a relaxed structure of Ba2NbV2.

The structure belongs to space group P4/mbm (No. 127); the cell edges are 6.7252, 6.7252 and 5.8371 Å and the angles 90.00°, 90.00° and 90.00°. The asymmetric unit holds Ba at (0.2047, 0.2953, 0.0000), Nb at (0.0000, 0.0000, 0.5000) and V at (0.1063, 0.6063, 0.5000).



Most stable pick: 2). Distance to second place: 309 meV per atom.



1) A plane-wave DFT calculation with GGA-PBE was carried out for a relaxed structure of BaNb2W.

The structure belongs to space group I4_1/amd (No. 141, origin choice 2); the cell edges are 5.2887, 5.2887 and 17.8285 Å and the angles 90.00°, 90.00° and 90.00°. The asymmetric unit holds Ba at (0.0000, 0.2500, 0.3750), Nb at (0.0000, 0.0000, 0.0000) and W at (0.0000, 0.2500, 0.8750).



2) A plane-wave DFT calculation with GGA-PBE was carried out for a relaxed structure of BaNb2W.

The structure belongs to space group Fm-3m (No. 225); the cell edges are 6.9445, 6.9445 and 6.9445 Å and the angles 90.00°, 90.00° and 90.00°. The asymmetric unit holds Ba at (0.0000, 0.0000, 0.0000), Nb at (0.2500, 0.2500, 0.2500) and W at (0.0000, 0.0000, 0.5000).



Most stable pick: 2). Distance to second place: 348 meV per atom.



1) A plane-wave DFT calculation with GGA-PBE was carried out for a relaxed structure of Ba2NbW2.

The structure belongs to space group P4/mbm (No. 127); the cell edges are 6.8127, 6.8127 and 5.8703 Å and the angles 90.00°, 90.00° and 90.00°. The asymmetric unit holds Ba at (0.1799, 0.3201, 0.0000), Nb at (0.0000, 0.0000, 0.5000) and W at (0.1309, 0.6309, 0.5000).



2) A plane-wave DFT calculation with GGA-PBE was carried out for a relaxed structure of Ba2NbW2.

The structure belongs to space group I4/mmm (No. 139); the cell edges are 4.1934, 4.1934 and 15.3676 Å and the angles 90.00°, 90.00° and 90.00°. The asymmetric unit holds Ba at (0.0000, 0.5000, 0.2500), Nb at (0.0000, 0.0000, 0.0000) and W at (0.0000, 0.0000, 0.4281).



Most stable pick: 1). Distance to second place: 611 meV per atom.